No. 1
The following is a PBE calculation of a geometry-optimized Sc4SnRu3 structure, from the Alexandria database.

Summary:
space group	R-3m
uncorrected energy	-62.0	eV for the cell shown

Cell lengths 4.6351, 4.6351, 8.1171 Å; angles 73.41, 73.41, 60.00 degrees
Closest atoms and distances in Å follow each position.
Fractional coordinates of all 8 atoms:
Ru  0.2512  0.2512  0.2465  8 Sc 2.77-3.05
Sc  0.6162  0.6162  0.1513  4 Ru 2.67-2.77, 3 Sn 2.92
Ru  0.7488  0.7488  0.7535  8 Sc 2.77-3.05
Sc  0.1305  0.1305  0.6085  7 Ru 2.77-2.90, 1 Sn 3.00
Sc  0.3838  0.3838  0.8487  4 Ru 2.67-2.77, 3 Sn 2.92
Ru  0.5000  0.5000  0.5000  8 Sc 2.67-2.80
Sn  0.0000  0.0000  0.0000  8 Sc 2.92-3.00
Sc  0.8695  0.8695  0.3915  7 Ru 2.77-2.90, 1 Sn 3.00

No. 2
The following is a PBE calculation of a geometry-optimized ScSnRu structure, from the Alexandria database.

Summary:
space group	Fddd
uncorrected energy	-82.6	eV for the cell shown

Cell lengths 6.3435, 6.3435, 7.7208 Å; angles 113.90, 113.90, 90.79 degrees
Closest atoms and distances in Å follow each position.
Fractional coordinates of all 12 atoms:
Ru  0.2952  0.2203  0.0000  4 Sc 2.71-2.72, 4 Sn 2.75-2.79
Ru  0.0297  0.4548  0.5000  4 Sc 2.71-2.72, 4 Sn 2.75-2.79
Sn  0.4135  0.8386  0.7520  4 Ru 2.75-2.79, 1 Sc 3.06
Sc  0.6560  0.0811  0.2371  4 Ru 2.71-2.72
Sn  0.9114  0.8365  0.7480  4 Ru 2.75-2.79, 1 Sc 3.06
Sn  0.1615  0.5865  0.2480  4 Ru 2.75-2.79, 1 Sc 3.06
Sc  0.9189  0.3440  0.7629  4 Ru 2.71-2.72
Ru  0.5452  0.9703  0.5000  4 Sc 2.71-2.72, 4 Sn 2.75-2.79
Sn  0.1635  0.0886  0.2520  4 Ru 2.75-2.79, 1 Sc 3.06
Sc  0.6689  0.5940  0.2629  4 Ru 2.71-2.72
Ru  0.7797  0.7048  0.0000  4 Sc 2.71-2.72, 4 Sn 2.75-2.79
Sc  0.4060  0.3311  0.7371  4 Ru 2.71-2.72

No. 3
The following is a PBE calculation of a geometry-optimized ScSnRu structure, from the Alexandria database.

Summary:
space group	F-43m
uncorrected energy	-20.8	eV for the cell shown

Cell lengths 4.4881, 4.4881, 4.4881 Å; angles 60.00, 60.00, 60.00 degrees
Closest atoms and distances in Å follow each position.
Fractional coordinates of all 3 atoms:
Ru  0.2500  0.2500  0.2500  4 Sn 2.75, 4 Sc 2.75
Sn  0.5000  0.5000  0.5000  4 Ru 2.75
Sc  0.0000  0.0000  0.0000  4 Ru 2.75

No. 4
The following is a PBE calculation of a geometry-optimized ScSnRu structure, from the Alexandria database.

Summary:
space group	I4mm
uncorrected energy	-41.8	eV for the cell shown

Cell lengths 3.2335, 3.2335, 10.8213 Å; angles 90.00, 90.00, 90.00 degrees
Closest atoms and distances in Å follow each position.
Fractional coordinates of all 6 atoms:
Sc  0.5000  0.5000  0.8107  4 Ru 2.82
Sn  0.5000  0.5000  0.5151  4 Ru 2.76
Ru  0.0000  0.0000  0.6576  4 Sn 2.76, 4 Sc 2.82
Sc  0.0000  0.0000  0.3107  4 Ru 2.82
Ru  0.5000  0.5000  0.1576  4 Sn 2.76, 4 Sc 2.82
Sn  0.0000  0.0000  0.0151  4 Ru 2.76

- Among the records above, which one has the highest uncorrected energy?
  number 3